The following is a GGA-PBE calculation of an optimized crystal structure of LiErZnIr, from Alexandria.

Cell: 6.514 6.514 6.514 Å, 90.00 90.00 90.00°
Space group F-43m (No. 216)
Unique sites:
Li (0.000, 0.000, 0.000) x4
Er (0.250, 0.250, 0.250) x4
Zn (0.250, 0.250, 0.750) x4
Ir (0.000, 0.000, 0.500) x4

Properties
energy of formation from the pure elements	-459.3	meV per atom
D(E_F)	6.7	states/eV per cell

***

The following is a GGA-PBE calculation of an optimized crystal structure of LiMgIr2, from Alexandria.

Cell: 2.893 4.589 8.659 Å, 90.00 90.00 90.00°
Space group Immm (No. 71)
Unique sites:
Li (0.000, 0.000, 0.000) x2
Mg (0.000, 0.000, 0.500) x2
Ir (0.000, 0.500, 0.255) x4

Properties
energy of formation from the pure elements	-227.5	meV per atom
D(E_F)	5.6	states/eV per cell

***

The following is a GGA-PBE calculation of an optimized crystal structure of BaTe2RhI, from Alexandria.

Cell: 5.368 5.368 5.555 Å, 90.00 90.00 90.00°
Space group P4/mmm (No. 123)
Unique sites:
Ba (0.000, 0.000, 0.000) x1
Te (0.000, 0.500, 0.500) x2
Rh (0.500, 0.500, 0.500) x1
I (0.500, 0.500, 0.000) x1

Properties
formation energy without anion corrections	-0.6731	eV/atom
D(E_F)	5.7	states/eV per cell